1.
Pr10Tl3In3 after structural relaxation. Source: the Alexandria database, functional PBE.

## Properties
The formation enthalpy at 0 K is -311.1 meV per atom.

Cell: 6.6956 9.5095 9.5095 Å, 120.00 90.00 90.00°
Fractional positions:
Tl (0.0000, 0.0000, 0.6025)
Tl (0.0000, 0.6025, 0.0000)
Tl (0.0000, 0.3975, 0.3975)
In (0.5000, 0.6022, 0.6022)
In (0.5000, 0.0000, 0.3978)
In (0.5000, 0.3978, 0.0000)
Pr (0.0000, 0.7635, 0.7635)
Pr (0.2519, 0.6667, 0.3333)
Pr (0.7481, 0.3333, 0.6667)
Pr (0.5000, 0.0000, 0.7644)
Pr (0.5000, 0.2356, 0.2356)
Pr (0.7481, 0.6667, 0.3333)
Pr (0.0000, 0.2365, 0.0000)
Pr (0.2519, 0.3333, 0.6667)
Pr (0.0000, 0.0000, 0.2365)
Pr (0.5000, 0.7644, 0.0000)

2.
YSiOs2 after structural relaxation. Source: the Alexandria database, functional PBE.

## Properties
As for the uncorrected formation energy: 0.055 eV per atom.

Cell: 4.4241 4.4241 3.3125 Å, 90.00 90.00 90.00°
Fractional positions:
Os (0.0000, 0.0000, 0.0000)
Os (0.5000, 0.5000, 0.0000)
Y (0.0000, 0.5000, 0.5000)
Si (0.5000, 0.0000, 0.5000)

3.
K2OsCl2 after structural relaxation. Source: the Alexandria database, functional PBE.

## Properties
As for the uncorrected formation energy: 0.182 eV per atom. The energy relative to the lowest polymorph listed for this composition is 0.444 eV per atom.

Cell: 5.5965 5.5965 7.2934 Å, 67.44 67.44 90.00°
Fractional positions:
K (0.3429, 0.3429, 0.3143)
K (0.6571, 0.6571, 0.6857)
Cl (0.7500, 0.2500, 0.5000)
Cl (0.2500, 0.7500, 0.5000)
Os (0.0000, 0.0000, 0.0000)

4.
LiSc3Ti after structural relaxation. Source: the Alexandria database, functional PBE.

## Properties
The formation enthalpy at 0 K is 740.2 meV per atom. The energy relative to the lowest polymorph listed for this composition is 0.154 eV per atom.

Cell: 4.8589 4.8589 4.8589 Å, 90.00 90.00 90.00°
Fractional positions:
Ti (0.5000, 0.5000, 0.5000)
Sc (0.0000, 0.5000, 0.0000)
Sc (0.0000, 0.0000, 0.5000)
Sc (0.5000, 0.0000, 0.0000)
Li (0.0000, 0.0000, 0.0000)

5.
Tb4Er3Cd4 after structural relaxation. Source: the Alexandria database, functional PBE.

## Properties
The formation enthalpy at 0 K is -55.9 meV per atom.

Cell: 5.3178 3.4805 17.0482 Å, 95.86 98.97 90.00°
Fractional positions:
Tb (0.0909, 0.5909, 0.1819)
Tb (0.9091, 0.4091, 0.8181)
Tb (0.7320, 0.7320, 0.4639)
Tb (0.2680, 0.2680, 0.5361)
Er (0.3629, 0.8629, 0.7258)
Er (0.0000, 0.0000, 0.0000)
Er (0.6371, 0.1371, 0.2742)
Cd (0.1820, 0.6820, 0.3639)
Cd (0.5438, 0.5438, 0.0876)
Cd (0.4562, 0.4562, 0.9124)
Cd (0.8180, 0.3180, 0.6361)

6.
Ba2PtIN after structural relaxation. Source: the Alexandria database, functional PBE.

## Properties
As for the uncorrected formation energy: -0.857 eV per atom.

Cell: 5.9488 5.9488 3.9520 Å, 90.00 90.00 90.00°
Fractional positions:
N (0.0000, 0.0000, 0.0000)
Ba (0.5000, 0.0000, 0.0000)
Ba (0.0000, 0.5000, 0.0000)
I (0.5000, 0.5000, 0.5000)
Pt (0.0000, 0.0000, 0.5000)

7.
PmAs2Pd after structural relaxation. Source: the Alexandria database, functional PBE.

## Properties
The formation enthalpy at 0 K is -699.1 meV per atom. The energy relative to the lowest polymorph listed for this composition is 0.188 eV per atom.

Cell: 3.9445 4.5179 4.5179 Å, 90.00 90.00 90.00°
Fractional positions:
As (0.0000, 0.0000, 0.5000)
As (0.0000, 0.5000, 0.0000)
Pm (0.5000, 0.5000, 0.5000)
Pd (0.5000, 0.0000, 0.0000)

8.
SrLi2Cl after structural relaxation. Source: the Alexandria database, functional PBE.

## Properties
As for the uncorrected formation energy: -0.675 eV per atom. The energy relative to the lowest polymorph listed for this composition is 0.056 eV per atom.

Cell: 3.8560 3.8560 9.1604 Å, 90.00 90.00 118.54°
Fractional positions:
Cl (0.5000, 0.5000, 0.7917)
Li (0.5000, 0.5000, 0.2215)
Li (0.0000, 0.0000, 0.9564)
Sr (0.0000, 0.0000, 0.5304)

9.
Li4Ag3Pb after structural relaxation. Source: the Alexandria database, functional PBE.

## Properties
The formation enthalpy at 0 K is -221.6 meV per atom. The energy relative to the lowest polymorph listed for this composition is 0.000 eV per atom.

Cell: 4.3963 7.1513 8.7917 Å, 90.00 90.00 90.00°
Fractional positions:
Li (0.5000, 0.7652, 0.5000)
Li (0.5000, 0.2348, 0.5000)
Li (0.5000, 0.2348, 0.0000)
Li (0.9994, 0.2348, 0.7500)
Li (0.9994, 0.7652, 0.7500)
Li (0.0006, 0.2348, 0.2500)
Li (0.5000, 0.7652, 0.0000)
Li (0.0006, 0.7652, 0.2500)
Ag (0.4997, 0.5000, 0.7500)
Ag (0.0000, 0.0000, 0.5000)
Ag (0.4994, 0.0000, 0.7500)
Ag (0.5006, 0.0000, 0.2500)
Ag (0.5003, 0.5000, 0.2500)
Ag (0.0000, 0.0000, 0.0000)
Pb (0.0000, 0.5000, 0.5000)
Pb (0.0000, 0.5000, 0.0000)

10.
La2NdNi2 after structural relaxation. Source: the Alexandria database, functional PBE.

## Properties
The formation enthalpy at 0 K is -158.3 meV per atom. The energy relative to the lowest polymorph listed for this composition is 0.085 eV per atom.

Cell: 3.9882 5.9655 6.0974 Å, 106.23 109.09 90.00°
Fractional positions:
La (0.3449, 0.3813, 0.6899)
La (0.6551, 0.6187, 0.3101)
Ni (0.2897, 0.8873, 0.5793)
Ni (0.7103, 0.1127, 0.4207)
Nd (0.0000, 0.0000, 0.0000)

11.
NaNi3P2 after structural relaxation. Source: the Alexandria database, functional PBE.

## Properties
The formation enthalpy at 0 K is -478.9 meV per atom.

Cell: 3.6308 7.7270 9.0858 Å, 105.97 90.00 103.59°
Fractional positions:
Ni (0.3745, 0.7490, 0.7932)
Ni (0.3200, 0.6400, 0.0329)
Ni (0.5000, 0.0000, 0.5000)
Ni (0.7824, 0.5648, 0.6042)
Ni (0.0434, 0.0867, 0.3304)
Ni (0.2176, 0.4352, 0.3958)
Ni (0.9566, 0.9133, 0.6696)
Ni (0.6255, 0.2510, 0.2068)
Ni (0.6800, 0.3600, 0.9671)
Na (0.1574, 0.3149, 0.7028)
Na (0.8426, 0.6851, 0.2972)
Na (0.0000, 0.0000, 0.0000)
P (0.1979, 0.3958, 0.1327)
P (0.5367, 0.0734, 0.7772)
P (0.4633, 0.9266, 0.2228)
P (0.8021, 0.6042, 0.8673)
P (0.6386, 0.2773, 0.4555)
P (0.3614, 0.7227, 0.5445)

12.
Er3IrRh after structural relaxation. Source: the Alexandria database, functional PBE.

## Properties
The formation enthalpy at 0 K is -762.1 meV per atom. The energy relative to the lowest polymorph listed for this composition is 0.000 eV per atom.

Cell: 6.4262 8.4218 9.9076 Å, 115.15 108.57 90.00°
Fractional positions:
Er (0.4286, 0.1510, 0.3703)
Er (0.9286, 0.2193, 0.3703)
Er (0.0492, 0.2937, 0.0969)
Er (0.6118, 0.5375, 0.2899)
Er (0.0714, 0.7807, 0.6297)
Er (0.1118, 0.7525, 0.2899)
Er (0.4508, 0.1968, 0.9031)
Er (0.8882, 0.2475, 0.7101)
Er (0.9508, 0.7063, 0.9031)
Er (0.5714, 0.8490, 0.6297)
Er (0.5492, 0.8032, 0.0969)
Er (0.3882, 0.4625, 0.7101)
Rh (0.7500, 0.0032, 0.0000)
Rh (0.7500, 0.4997, 0.0000)
Rh (0.2500, 0.5003, 0.0000)
Rh (0.2500, 0.9968, 0.0000)
Ir (0.2401, 0.0874, 0.5741)
Ir (0.7401, 0.4867, 0.5741)
Ir (0.2599, 0.5133, 0.4259)
Ir (0.7599, 0.9126, 0.4259)

Calculated values (eV/atom) of energy for the records, taken in order: -4.255 -8.531 -3.242 -5.020 -3.317 -4.810 -5.510 -2.514 -2.711 -5.395 -5.393 -6.742.